No. 1
A plane-wave DFT calculation with GGA-PBE was carried out for a relaxed structure of EuGa3Os.

Its calculated total energy is -6.43 eV/atom. The formation energy is -0.318 eV/atom. The magnetic moment is 7.55 μB/cell.

Unit cell a=4.815 b=4.815 c=4.815 alpha=90.00 beta=90.00 gamma=90.00
Fractional positions:
Eu: 0.000 0.000 0.000
Ga: 0.000 0.500 0.500
Ga: 0.500 0.000 0.500
Ga: 0.500 0.500 0.000
Os: 0.500 0.500 0.500

No. 2
A plane-wave DFT calculation with GGA-PBE was carried out for a relaxed structure of SrLa3O.

For the raw formation energy, the calculation gives 1.227 eV per atom. As for the distance to the lowest polymorph of the same formula: 2218 meV per atom. Its calculated total energy is -3.06 eV/atom. The magnetic moment is 0.05 μB/cell.

Unit cell a=5.796 b=5.796 c=5.796 alpha=90.00 beta=90.00 gamma=90.00
Fractional positions:
Sr: 0.000 0.000 0.000
La: 0.000 0.000 0.500
La: 0.000 0.500 0.000
La: 0.500 0.000 0.000
O: 0.500 0.500 0.500